(1)
# MnTeS2N

MnTeS2N after structural relaxation (PBE-GGA, Alexandria).

Computed properties:
Formation energy (no corrections) = 455 kJ/mol of formula units
Size of the total moment = 0.996 μB per atom
Crystal system = tetragonal
ΔE to the lowest computed polymorph = 651.1 meV per atom

Cell: 5.100 5.100 3.905 Å, 90.00 90.00 90.00°
Space group P4/mmm (No. 123)
One atom of each set of equivalent atoms:
Mn 0.000 0.000 0.000 x1
Te 0.500 0.500 0.500 x1
S 0.000 0.500 0.500 x2
N 0.500 0.500 0.000 x1



(2)
# BeInTcSb2

BeInTcSb2 after structural relaxation (PBE-GGA, Alexandria).

Computed properties:
Formation energy (no corrections) = 207 kJ/mol of formula units
Size of the total moment = 0.000 μB per atom
Crystal system = tetragonal

Cell: 5.185 5.185 4.491 Å, 90.00 90.00 90.00°
Space group P4/mmm (No. 123)
One atom of each set of equivalent atoms:
Be 0.000 0.000 0.000 x1
In 0.500 0.500 0.000 x1
Tc 0.000 0.000 0.500 x1
Sb 0.000 0.500 0.500 x2